Computed, not measured: a relaxed CaVPO2 crystal at the PBE+U level of DFT.

Uncorrected energy = -31.4 eV/cell
V = 72.1 Å³/cell
Space-group type = P4/mmm

Unit cell a=3.8637 b=3.8637 c=4.8306 alpha=90.00 beta=90.00 gamma=90.00
Closest atoms and distances in Å follow each position.
Sites, in units of the cell vectors:
1 Ca 0.0000 0.0000 0.0000  4 P 2.73
2 V 0.5000 0.5000 0.5000  4 O 1.93
3 P 0.5000 0.5000 0.0000  2 V 2.42
4 O 0.0000 0.5000 0.5000  2 V 1.93
5 O 0.5000 0.0000 0.5000  2 V 1.93